Record 1
A relaxed structure of GdPuBe. Source: OQMD via LeMat-Bulk, functional PBE-GGA.

Properties
As for the total energy: -7.09 eV/atom. As for the calculated volume: 73 Å³/f.u.

Lattice parameters (Å, degrees): 6.6196 6.6196 6.6196 90.00 90.00 90.00
Space group F-43m (No. 216)
Symmetry-distinct sites (fractional):
Gd 0.0000 0.0000 0.0000 (multiplicity 4)
Pu 0.0000 0.0000 0.5000 (multiplicity 4)
Be 0.2500 0.2500 0.2500 (multiplicity 4)


Record 2
A relaxed structure of RbGdBeTe3. Source: OQMD via LeMat-Bulk, functional PBE-GGA.

Properties
As for the total energy: -4.15 eV/atom. As for the calculated volume: 210 Å³/f.u.

Lattice parameters (Å, degrees): 4.3234 16.5682 11.7406 90.00 90.00 90.00
Space group Cmcm (No. 63)
Symmetry-distinct sites (fractional):
Rb 0.0000 0.2442 0.2500 (multiplicity 4)
Gd 0.0000 0.5000 0.0000 (multiplicity 4)
Be 0.0000 0.0364 0.7500 (multiplicity 4)
Te 0.0000 0.1213 0.5769 (multiplicity 8)
Te 0.0000 0.4427 0.7500 (multiplicity 4)


> The highest calculated volume belongs to which entry?

RbGdBeTe3


> Look up the calculated volume of the second one.

210 Å³/f.u.


> Which value of calculated volume does entry 1 give?

73 Å³/f.u.